Computed, not measured: a relaxed InFe2Ru crystal at the PBE level of DFT.

Lattice parameters (Å, degrees): 3.739 2.829 6.261 63.05 90.00 90.00
Sites, in units of the cell vectors:
Fe 0.000 0.035 0.964
Fe 0.000 0.465 0.536
In 0.500 0.250 0.250
Ru 0.500 0.750 0.750

Properties
symmetry	P2/m (10)


Computed, not measured: a relaxed In2FeRu crystal at the PBE level of DFT.

Lattice parameters (Å, degrees): 3.100 3.100 7.622 90.00 90.00 90.00
Sites, in units of the cell vectors:
Fe 0.500 0.500 0.713
In 0.000 0.000 0.945
In 0.500 0.500 0.303
Ru 0.000 0.000 0.539

Properties
symmetry	P4mm (99)
ΔE to the lowest computed polymorph	92.6	meV/atom


Computed, not measured: a relaxed InFe2Ru crystal at the PBE level of DFT.

Lattice parameters (Å, degrees): 5.106 5.106 4.355 64.75 64.75 35.83
Sites, in units of the cell vectors:
Fe 0.987 0.987 0.012
Fe 0.513 0.513 0.488
In 0.750 0.750 0.750
Ru 0.250 0.250 0.250

Properties
symmetry	Immm (71)


Computed, not measured: a relaxed In2FeRu crystal at the PBE level of DFT.

Lattice parameters (Å, degrees): 5.510 5.510 5.510 146.06 131.70 60.35
Sites, in units of the cell vectors:
Fe 0.269 0.769 0.500
In 0.016 0.016 0.000
In 0.735 0.235 0.500
Ru 0.479 0.479 0.000

Properties
symmetry	Imm2 (44)
ΔE to the lowest computed polymorph	98.3	meV/atom


Asked for formation energy from the elements across the records above, the calculation gives 0.24, 0.19, 0.23, 0.20 eV/atom in order.
Asked for size of the total moment across the records above, the calculation gives 5.4, 3.4, 5.8, 3.1 μB per formula unit in order.